# 1
Computed, not measured: a geometry-optimized Hf2BeNi structure at the PBE level of DFT.

Lattice parameters (Å, degrees): 3.9639 5.1767 6.5409 108.02 90.00 90.00
With the nearest neighbours (Å) after each atom.
Positions (direct):
Ni1 0.7500 0.6341 0.7876  2 Be 2.42, 6 Hf 2.65-2.69
Ni2 0.2500 0.3659 0.2124  2 Be 2.42, 6 Hf 2.65-2.69
Be1 0.7500 0.6487 0.2824  2 Ni 2.42, 5 Hf 2.65-2.70
Be2 0.2500 0.3513 0.7176  2 Ni 2.42, 5 Hf 2.65-2.70
Hf1 0.7500 0.2099 0.4275  3 Ni 2.68-2.69, 4 Be 2.68-2.76
Hf2 0.7500 0.2070 0.9284  4 Ni 2.65-2.82, 3 Be 2.65-2.70
Hf3 0.2500 0.7901 0.5725  3 Ni 2.68-2.69, 4 Be 2.68-2.76
Hf4 0.2500 0.7930 0.0716  4 Ni 2.65-2.82, 3 Be 2.65-2.70

Computed properties:
Fermi-level density of states = 8.89 states/eV/cell
SG = P2_1/m, No. 11
energy of formation from the pure elements = -0.2729 eV per atom
magnetization = 0.00 μB/f.u.
calculated density = 11.05 g cm⁻³

---

# 2
Computed, not measured: a geometry-optimized KSbBr2 structure at the PBE level of DFT.

Lattice parameters (Å, degrees): 8.1386 8.1386 8.1386 148.50 148.50 45.14
With the nearest neighbours (Å) after each atom.
Positions (direct):
Br1 0.0000 0.0000 0.0000  4 K 3.12
Br2 0.2500 0.7500 0.5000  4 Sb 3.12
K1 0.5000 0.5000 0.0000  4 Br 3.12
Sb1 0.7500 0.2500 0.5000  4 Br 3.12

Computed properties:
Fermi-level density of states = 1.36 states/eV/cell
energy relative to the lowest polymorph listed for this composition = 18.6 kJ per mole of atoms
energy relative to the elements, uncorrected = -13.46 kcal/mol of atoms
SG = I-4m2, No. 119
magnetization = 1.29 μB/f.u.
calculated density = 3.63 g cm⁻³

---

# 3
Computed, not measured: a geometry-optimized KSnI2Br structure at the PBE level of DFT.

Lattice parameters (Å, degrees): 8.6596 8.6596 8.4742 120.73 120.73 90.00
With the nearest neighbours (Å) after each atom.
Positions (direct):
Br1 0.2502 0.2502 0.5004  2 Sn 2.92-2.94
Br2 0.7502 0.7502 0.5004  2 Sn 2.92-2.94
Sn1 0.9995 0.9995 0.9991  2 Br 2.92-2.94, 4 I 3.18
Sn2 0.4995 0.4995 0.9991  2 Br 2.92-2.94, 4 I 3.18
K1 0.2503 0.7503 0.5007  4 I 3.66-3.67
K2 0.7503 0.2503 0.5007  4 I 3.66-3.67
I1 0.8203 0.6799 0.0002  2 Sn 3.18
I2 0.1799 0.3203 0.0002  2 Sn 3.18
I3 0.3203 0.8203 0.0002  2 Sn 3.18
I4 0.6799 0.1799 0.0002  2 Sn 3.18

Computed properties:
energy relative to the lowest polymorph listed for this composition = 0.0 kJ per mole of atoms
energy relative to the elements, uncorrected = -22.06 kcal/mol of atoms
SG = I4cm, No. 108
magnetization = 0.00 μB/f.u.
calculated density = 3.72 g cm⁻³

---

# 4
Computed, not measured: a geometry-optimized KBiSb2 structure at the PBE level of DFT.

Lattice parameters (Å, degrees): 9.1833 9.1833 7.2977 51.01 51.01 90.00
With the nearest neighbours (Å) after each atom.
Positions (direct):
Sb1 0.8750 0.9083 0.7500  2 Bi 3.15, 2 Sb 3.39
Sb2 0.3750 0.3417 0.7500  2 Bi 3.15, 2 Sb 3.39
Sb3 0.6583 0.1250 0.2500  2 Bi 3.15, 2 Sb 3.39
Sb4 0.0917 0.6250 0.2500  2 Bi 3.15, 2 Sb 3.39
Bi1 0.7500 0.2500 0.5000  4 Sb 3.15, 2 K 3.33
Bi2 0.0000 0.0000 0.0000  4 Sb 3.15, 2 K 3.33
K1 0.2500 0.7500 0.5000  2 Bi 3.33, 4 Sb 3.57
K2 0.5000 0.5000 0.0000  2 Bi 3.33, 4 Sb 3.57

Computed properties:
Fermi-level density of states = 6.14 states/eV/cell
energy relative to the elements, uncorrected = -0.57 kcal/mol of atoms
SG = I-42d, No. 122
magnetization = 0.00 μB/f.u.
calculated density = 5.81 g cm⁻³

---

# 5
Computed, not measured: a geometry-optimized Te5As structure at the PBE level of DFT.

Lattice parameters (Å, degrees): 6.2629 6.2629 6.2629 60.00 60.00 60.00
With the nearest neighbours (Å) after each atom.
Positions (direct):
As1 0.0000 0.0000 0.0000  16 Te 3.67-3.84
Te1 0.6253 0.6253 0.6253  6 Te 3.12-3.14
Te2 0.6253 0.6253 0.1242  6 Te 3.12-3.14
Te3 0.1242 0.6253 0.6253  6 Te 3.12-3.14
Te4 0.2500 0.2500 0.2500  12 Te 3.67, 4 As 3.84
Te5 0.6253 0.1242 0.6253  6 Te 3.12-3.14

Computed properties:
Fermi-level density of states = 7.84 states/eV/cell
energy relative to the lowest polymorph listed for this composition = 63.4 kJ per mole of atoms
energy relative to the elements, uncorrected = 16.25 kcal/mol of atoms
SG = F-43m, No. 216
magnetization = 0.00 μB/f.u.
calculated density = 6.82 g cm⁻³

---

# 6
Computed, not measured: a geometry-optimized NaSiI2N structure at the PBE level of DFT.

Lattice parameters (Å, degrees): 5.8468 5.8468 4.3849 90.00 90.00 90.00
With the nearest neighbours (Å) after each atom.
Positions (direct):
I1 0.0000 0.5000 0.0000  2 Na 2.92
I2 0.5000 0.0000 0.0000  2 Na 2.92
Si1 0.5000 0.5000 0.5000  8 I 3.65
Na1 0.0000 0.0000 0.0000  2 N 2.19
N1 0.0000 0.0000 0.5000  2 Na 2.19

Computed properties:
Fermi-level density of states = 3.99 states/eV/cell
energy relative to the lowest polymorph listed for this composition = 121.4 kJ per mole of atoms
energy relative to the elements, uncorrected = 24.99 kcal/mol of atoms
SG = P4/mmm, No. 123
magnetization = 2.43 μB/f.u.
calculated density = 3.53 g cm⁻³

---

# 7
Computed, not measured: a geometry-optimized Pr2H7Ru2 structure at the PBE level of DFT.

Lattice parameters (Å, degrees): 4.8257 4.8097 4.8097 83.93 89.94 89.94
With the nearest neighbours (Å) after each atom.
Positions (direct):
H1 0.8109 0.0000 0.4994  1 H 1.83, 2 Ru 1.85
H2 0.8302 0.5003 0.5003  1 H 1.64
H3 0.1891 0.0000 0.5006  1 H 1.83, 2 Ru 1.85
H4 0.0000 0.0000 0.0000  2 Ru 1.88
H5 0.8109 0.4994 0.0000  1 H 1.83, 2 Ru 1.85
H6 0.1698 0.4997 0.4997  1 H 1.64
H7 0.1891 0.5006 0.0000  1 H 1.83, 2 Ru 1.85
Ru1 0.9985 0.7367 0.7367  7 H 1.85-1.89
Ru2 0.0015 0.2633 0.2633  7 H 1.85-1.89
Pr1 0.5000 0.7623 0.2377  6 H 2.32-2.34
Pr2 0.5000 0.2377 0.7623  6 H 2.32-2.34

Computed properties:
Fermi-level density of states = 4.06 states/eV/cell
SG = C2/m, No. 12
magnetization = 0.00 μB/f.u.
calculated density = 7.34 g cm⁻³

---

# 8
Computed, not measured: a geometry-optimized RuSeBr2 structure at the PBE level of DFT.

Lattice parameters (Å, degrees): 9.3331 9.3331 9.3331 21.98 21.98 21.98
With the nearest neighbours (Å) after each atom.
Positions (direct):
Br1 0.5300 0.5300 0.5300  3 Ru 2.52
Br2 0.9700 0.9700 0.9700  3 Ru 2.52
Ru1 0.2500 0.2500 0.2500  6 Br 2.52
Se1 0.7500 0.7500 0.7500  6 Se 3.56, 6 Br 3.71

Computed properties:
Fermi-level density of states = 5.53 states/eV/cell
energy relative to the lowest polymorph listed for this composition = 54.7 kJ per mole of atoms
energy relative to the elements, uncorrected = 8.69 kcal/mol of atoms
SG = R-3m, No. 166
magnetization = 0.33 μB/f.u.
calculated density = 5.65 g cm⁻³

---

| no. | electronic total energy (eV for the cell shown) | V (A^3/atom) |
| --- | --- | --- |
| 1 | -61.01 | 16.0 |
| 2 | -10.90 | 36.7 |
| 3 | -29.31 | 43.9 |
| 4 | -26.65 | 35.1 |
| 5 | -16.13 | 29.0 |
| 6 | -12.75 | 30.0 |
| 7 | -54.19 | 10.1 |
| 8 | -14.60 | 25.0 |